## V2ZnCdO6 (PBE with a Hubbard U)

Data for V2ZnCdO6 after structural relaxation.

Cell: 7.170 7.170 6.089 Å, 106.65 106.65 98.89°
Atoms (fractional coordinates):
V (0.053, 0.223, 0.179)
V (0.223, 0.053, 0.679)
V (0.777, 0.947, 0.321)
V (0.947, 0.777, 0.821)
Zn (0.310, 0.690, 0.250)
Zn (0.690, 0.310, 0.750)
Cd (0.407, 0.593, 0.750)
Cd (0.593, 0.407, 0.250)
O (0.064, 0.160, 0.465)
O (0.132, 0.656, 0.921)
O (0.160, 0.064, 0.965)
O (0.288, 0.442, 0.339)
O (0.344, 0.868, 0.579)
O (0.442, 0.288, 0.839)
O (0.558, 0.712, 0.161)
O (0.656, 0.132, 0.421)
O (0.712, 0.558, 0.661)
O (0.840, 0.936, 0.035)
O (0.868, 0.344, 0.079)
O (0.936, 0.840, 0.535)

Values from the calculation:
theoretical density	4.5	g cm⁻³
total moment	4.0	μB/cell
crystal system	monoclinic
E	-126.78	eV for the cell shown